Record 1
DFT (meta-GGA SCAN) results for Li2ZnPt at its PBEsol-relaxed geometry.

Output
magnetic moment = 0.0 μB per formula unit
E_form = -0.54 eV per atom

Unit cell a=2.8855 b=4.2748 c=4.3631 alpha=90.00 beta=90.00 gamma=90.00
Space group Pmmm (No. 47)
One atom of each set of equivalent atoms:
Li: 0.0000 0.0000 0.0000
Li: 0.5000 0.5000 0.0000
Zn: 0.0000 0.5000 0.5000
Pt: 0.5000 0.0000 0.5000


Record 2
DFT (meta-GGA SCAN) results for HfP2SN at its PBEsol-relaxed geometry.

Output
magnetic moment = 1.2 μB per formula unit
ΔE_f (raw) = 1.002 eV per atom

Unit cell a=4.9677 b=4.9677 c=4.8206 alpha=90.00 beta=90.00 gamma=90.00
Space group P4/mmm (No. 123)
One atom of each set of equivalent atoms:
Hf: 0.0000 0.0000 0.0000
P: 0.0000 0.5000 0.0000
S: 0.0000 0.0000 0.5000
N: 0.5000 0.5000 0.5000


Record 3
DFT (meta-GGA SCAN) results for CoRh at its PBEsol-relaxed geometry.

Output
magnetic moment = 2.8 μB per formula unit
E_form = 0.06 eV per atom

Unit cell a=3.6017 b=3.6017 c=7.3438 alpha=90.00 beta=90.00 gamma=90.00
Space group I4_1/amd (No. 141, origin choice 2)
One atom of each set of equivalent atoms:
Co: 0.0000 0.2500 0.3750
Rh: 0.0000 0.2500 0.8750


Record 4
DFT (meta-GGA SCAN) results for ZrFe4Pt at its PBEsol-relaxed geometry.

Output
magnetic moment = 9.5 μB per formula unit
E_form = -0.36 eV per atom

Unit cell a=6.7622 b=6.7622 c=6.7622 alpha=90.00 beta=90.00 gamma=90.00
Space group F-43m (No. 216)
One atom of each set of equivalent atoms:
Zr: 0.0000 0.0000 0.0000
Fe: 0.1254 0.1254 0.3746
Pt: 0.2500 0.2500 0.7500


Record 5
DFT (meta-GGA SCAN) results for Tl2CuIr at its PBEsol-relaxed geometry.

Output
magnetic moment = 0.0 μB per formula unit
E_form = 0.64 eV per atom

Unit cell a=3.1976 b=4.4047 c=5.2453 alpha=90.00 beta=90.00 gamma=90.00
Space group Pmmm (No. 47)
One atom of each set of equivalent atoms:
Tl: 0.0000 0.0000 0.0000
Tl: 0.5000 0.0000 0.5000
Cu: 0.0000 0.5000 0.5000
Ir: 0.5000 0.5000 0.0000


Record 6
DFT (meta-GGA SCAN) results for LaAl2Pb at its PBEsol-relaxed geometry.

Output
magnetic moment = 0.0 μB per formula unit
E_form = -0.21 eV per atom

Unit cell a=3.2893 b=4.9878 c=5.9636 alpha=90.00 beta=90.00 gamma=90.00
Space group Pmmm (No. 47)
One atom of each set of equivalent atoms:
La: 0.0000 0.0000 0.0000
Al: 0.5000 0.5000 0.2339
Pb: 0.5000 0.0000 0.5000


Record 7
DFT (meta-GGA SCAN) results for TlSNF2 at its PBEsol-relaxed geometry.

Output
magnetic moment = 2.0 μB per formula unit
relative energy among the computed polymorphs = 0.682 eV/atom
ΔE_f (raw) = 0.307 eV per atom

Unit cell a=4.2949 b=4.2949 c=4.4861 alpha=90.00 beta=90.00 gamma=90.00
Space group P4/mmm (No. 123)
One atom of each set of equivalent atoms:
Tl: 0.0000 0.0000 0.0000
S: 0.5000 0.5000 0.5000
N: 0.0000 0.0000 0.5000
F: 0.0000 0.5000 0.0000


Record 8
DFT (meta-GGA SCAN) results for MnPt3O6 at its PBEsol-relaxed geometry.

Output
magnetic moment = 5.0 μB per formula unit
ΔE_f (raw) = -0.992 eV per atom

Unit cell a=7.0779 b=9.9562 c=3.2042 alpha=90.00 beta=90.00 gamma=90.00
Space group Cmmm (No. 65)
One atom of each set of equivalent atoms:
Mn: 0.0000 0.0000 0.0000
Pt: 0.0000 0.5000 0.0000
Pt: 0.2500 0.2500 0.5000
O: 0.0000 0.1483 0.5000
O: 0.2131 0.3729 0.0000


Record 9
DFT (meta-GGA SCAN) results for KIn2Rh at its PBEsol-relaxed geometry.

Output
magnetic moment = 0.0 μB per formula unit
E_form = -0.03 eV per atom

Unit cell a=3.3595 b=3.3595 c=29.2214 alpha=90.00 beta=90.00 gamma=120.00
Space group R-3m (No. 166, hexagonal axes)
One atom of each set of equivalent atoms:
K: 0.0000 0.0000 0.0000
In: 0.0000 0.0000 0.2311
Rh: 0.0000 0.0000 0.5000


Record 10
DFT (meta-GGA SCAN) results for Li2AgSn at its PBEsol-relaxed geometry.

Output
magnetic moment = 0.0 μB per formula unit
E_form = -0.42 eV per atom

Unit cell a=6.4781 b=6.4781 c=6.4781 alpha=90.00 beta=90.00 gamma=90.00
Space group F-43m (No. 216)
One atom of each set of equivalent atoms:
Li: 0.0000 0.0000 0.0000
Li: 0.2500 0.2500 0.2500
Ag: 0.2500 0.2500 0.7500
Sn: 0.0000 0.0000 0.5000


Record 11
DFT (meta-GGA SCAN) results for BeSeBr2Cl at its PBEsol-relaxed geometry.

Output
magnetic moment = 0.0 μB per formula unit
relative energy among the computed polymorphs = 0.000 eV/atom
ΔE_f (raw) = 0.110 eV per atom

Unit cell a=4.4761 b=4.4761 c=5.1712 alpha=90.00 beta=90.00 gamma=90.00
Space group P4/mmm (No. 123)
One atom of each set of equivalent atoms:
Be: 0.0000 0.0000 0.0000
Se: 0.0000 0.0000 0.5000
Br: 0.0000 0.5000 0.0000
Cl: 0.5000 0.5000 0.5000


Record 12
DFT (meta-GGA SCAN) results for CoReSe2Br at its PBEsol-relaxed geometry.

Output
magnetic moment = 2.2 μB per formula unit
ΔE_f (raw) = 0.852 eV per atom

Unit cell a=4.7161 b=4.7161 c=5.2965 alpha=90.00 beta=90.00 gamma=90.00
Space group P4/mmm (No. 123)
One atom of each set of equivalent atoms:
Co: 0.0000 0.0000 0.0000
Re: 0.5000 0.5000 0.5000
Se: 0.0000 0.5000 0.5000
Br: 0.5000 0.5000 0.0000